a | DFT (PBE-GGA) results for a geometry-optimized LiTlMo structure.

a = 3.6042 Å, b = 4.4010 Å, c = 14.0232 Å
α = 90.00°, β = 90.00°, γ = 90.00°
With the nearest neighbours (Å) after each atom.
Element x y z (fractional)
Li  0.0000  0.0000  0.0000  4 Li 2.84, 4 Mo 2.86-3.13, 2 Tl 2.96
Li  0.0000  0.5000  0.5000  4 Li 2.84, 4 Mo 2.86-3.13, 2 Tl 2.96
Li  0.5000  0.0000  0.5000  4 Li 2.84, 4 Mo 2.86-3.13, 2 Tl 2.96
Li  0.5000  0.5000  0.0000  4 Li 2.84, 4 Mo 2.86-3.13, 2 Tl 2.96
Tl  0.0000  0.0000  0.6672  4 Tl 2.84, 2 Li 2.96, 2 Mo 3.04
Tl  0.0000  0.5000  0.1672  4 Tl 2.84, 2 Li 2.96, 2 Mo 3.04
Tl  0.5000  0.0000  0.1672  4 Tl 2.84, 2 Li 2.96, 2 Mo 3.04
Tl  0.5000  0.5000  0.6672  4 Tl 2.84, 2 Li 2.96, 2 Mo 3.04
Mo  0.0000  0.0000  0.3414  4 Mo 2.84, 4 Li 2.86-3.13, 2 Tl 3.04
Mo  0.0000  0.5000  0.8414  4 Mo 2.84, 4 Li 2.86-3.13, 2 Tl 3.04
Mo  0.5000  0.0000  0.8414  4 Mo 2.84, 4 Li 2.86-3.13, 2 Tl 3.04
Mo  0.5000  0.5000  0.3414  4 Mo 2.84, 4 Li 2.86-3.13, 2 Tl 3.04

---

b | DFT (PBE-GGA) results for a geometry-optimized LiTlMo structure.

a = 2.8674 Å, b = 3.6817 Å, c = 9.8379 Å
α = 90.00°, β = 90.00°, γ = 90.00°
With the nearest neighbours (Å) after each atom.
Element x y z (fractional)
Li  0.0000  0.0000  0.0000  4 Tl 2.75, 4 Mo 2.82, 2 Li 2.87
Li  0.5000  0.5000  0.5000  4 Tl 2.75, 4 Mo 2.82, 2 Li 2.87
Tl  0.0000  0.0000  0.3514  4 Li 2.75, 2 Tl 2.87, 5 Mo 2.99-3.05
Tl  0.5000  0.5000  0.8514  4 Li 2.75, 2 Tl 2.87, 5 Mo 2.99-3.05
Mo  0.0000  0.0000  0.6615  4 Li 2.82, 2 Mo 2.87, 5 Tl 2.99-3.05
Mo  0.5000  0.5000  0.1615  4 Li 2.82, 2 Mo 2.87, 5 Tl 2.99-3.05

---

c | DFT (PBE-GGA) results for a geometry-optimized LiTlMo structure.

a = 2.9783 Å, b = 2.9783 Å, c = 7.3640 Å
α = 90.00°, β = 90.00°, γ = 120.00°
With the nearest neighbours (Å) after each atom.
Element x y z (fractional)
Li  0.0000  0.0000  0.0000  3 Mo 2.92, 6 Li 2.98, 3 Tl 3.00
Tl  0.3333  0.6667  0.6659  6 Tl 2.98, 3 Li 3.00, 3 Mo 3.07
Mo  0.6667  0.3333  0.3206  3 Li 2.92, 6 Mo 2.98, 3 Tl 3.07

---

d | DFT (PBE-GGA) results for a geometry-optimized LiTlMo structure.

a = 2.8421 Å, b = 2.8421 Å, c = 13.7253 Å
α = 90.00°, β = 90.00°, γ = 90.00°
With the nearest neighbours (Å) after each atom.
Element x y z (fractional)
Li  0.0000  0.0000  0.0000  4 Li 2.84, 4 Mo 2.97, 4 Tl 3.05
Li  0.5000  0.5000  0.5000  4 Li 2.84, 4 Mo 2.97, 4 Tl 3.05
Tl  0.0000  0.0000  0.3327  4 Tl 2.84, 4 Li 3.05, 4 Mo 3.11
Tl  0.5000  0.5000  0.8327  4 Tl 2.84, 4 Li 3.05, 4 Mo 3.11
Mo  0.0000  0.0000  0.6598  4 Mo 2.84, 4 Li 2.97, 4 Tl 3.11
Mo  0.5000  0.5000  0.1598  4 Mo 2.84, 4 Li 2.97, 4 Tl 3.11

---

Which one sits at the top of the stability order? a does.

---

a | DFT (PBE-GGA) results for a geometry-optimized Li2YMo structure.

a = 3.1645 Å, b = 4.7093 Å, c = 10.5313 Å
α = 90.00°, β = 90.00°, γ = 90.00°
With the nearest neighbours (Å) after each atom.
Element x y z (fractional)
Li  0.0000  0.0000  0.2248  6 Li 2.84-3.16, 2 Mo 2.85
Li  0.0000  0.0000  0.7752  6 Li 2.84-3.16, 2 Mo 2.85
Li  0.5000  0.5000  0.2248  6 Li 2.84-3.16, 2 Mo 2.85
Li  0.5000  0.5000  0.7752  6 Li 2.84-3.16, 2 Mo 2.85
Y  0.0000  0.5000  0.5000  6 Y 2.84-3.16
Y  0.5000  0.0000  0.5000  6 Y 2.84-3.16
Mo  0.0000  0.5000  0.0000  6 Mo 2.84-3.16, 4 Li 2.85
Mo  0.5000  0.0000  0.0000  6 Mo 2.84-3.16, 4 Li 2.85

---

b | DFT (PBE-GGA) results for a geometry-optimized Li2YMo structure.

a = 2.8258 Å, b = 4.7283 Å, c = 5.7231 Å
α = 90.00°, β = 90.00°, γ = 90.00°
With the nearest neighbours (Å) after each atom.
Element x y z (fractional)
Li  0.0000  0.0000  0.2092  1 Li 2.39
Li  0.0000  0.0000  0.7908  1 Li 2.39
Y  0.5000  0.5000  0.5000  2 Y 2.83, 2 Mo 2.86
Mo  0.5000  0.5000  0.0000  2 Mo 2.83, 2 Y 2.86, 8 Li 3.00

---

c | DFT (PBE-GGA) results for a geometry-optimized Li2YMo structure.

a = 6.6227 Å, b = 6.6227 Å, c = 6.6227 Å
α = 90.00°, β = 90.00°, γ = 90.00°
With the nearest neighbours (Å) after each atom.
Element x y z (fractional)
Li  0.2500  0.2500  0.2500  4 Y 2.87, 4 Mo 2.87
Li  0.2500  0.2500  0.7500  4 Mo 2.87, 4 Y 2.87
Li  0.2500  0.7500  0.2500  4 Mo 2.87, 4 Y 2.87
Li  0.2500  0.7500  0.7500  4 Y 2.87, 4 Mo 2.87
Li  0.7500  0.2500  0.2500  4 Mo 2.87, 4 Y 2.87
Li  0.7500  0.2500  0.7500  4 Y 2.87, 4 Mo 2.87
Li  0.7500  0.7500  0.2500  4 Y 2.87, 4 Mo 2.87
Li  0.7500  0.7500  0.7500  4 Mo 2.87, 4 Y 2.87
Y  0.0000  0.0000  0.0000  8 Li 2.87
Y  0.0000  0.5000  0.5000  8 Li 2.87
Y  0.5000  0.0000  0.5000  8 Li 2.87
Y  0.5000  0.5000  0.0000  8 Li 2.87
Mo  0.0000  0.0000  0.5000  8 Li 2.87
Mo  0.0000  0.5000  0.0000  8 Li 2.87
Mo  0.5000  0.0000  0.0000  8 Li 2.87
Mo  0.5000  0.5000  0.5000  8 Li 2.87

---

d | DFT (PBE-GGA) results for a geometry-optimized Li2YMo structure.

a = 2.8432 Å, b = 4.5384 Å, c = 6.2035 Å
α = 90.00°, β = 102.99°, γ = 90.00°
With the nearest neighbours (Å) after each atom.
Element x y z (fractional)
Li  0.0000  0.0000  0.0000  4 Li 2.69-2.84, 1 Mo 2.98
Li  0.2954  0.5000  0.2215  4 Li 2.69-2.84, 1 Y 2.87, 2 Mo 2.89
Y  0.4033  0.5000  0.6927  2 Y 2.84, 1 Li 2.87, 4 Mo 3.03-3.07
Mo  0.8010  0.0000  0.4512  2 Mo 2.84, 5 Li 2.89-3.17, 4 Y 3.03-3.07

---

Which one sits at the top of the stability order? d does.

---

a | DFT (PBE-GGA) results for a geometry-optimized Li2Y2Mo structure.

a = 7.8700 Å, b = 7.8700 Å, c = 3.5172 Å
α = 90.00°, β = 90.00°, γ = 90.00°
With the nearest neighbours (Å) after each atom.
Element x y z (fractional)
Li  0.1411  0.3589  0.0000  6 Y 2.81-2.97, 1 Li 3.14
Li  0.3589  0.8589  0.0000  6 Y 2.81-2.97, 1 Li 3.14
Li  0.6411  0.1411  0.0000  6 Y 2.81-2.97, 1 Li 3.14
Li  0.8589  0.6411  0.0000  6 Y 2.81-2.97, 1 Li 3.14
Y  0.1624  0.6624  0.5000  6 Li 2.81-2.97, 2 Mo 2.95
Y  0.3376  0.1624  0.5000  6 Li 2.81-2.97, 2 Mo 2.95
Y  0.6624  0.8376  0.5000  6 Li 2.81-2.97, 2 Mo 2.95
Y  0.8376  0.3376  0.5000  6 Li 2.81-2.97, 2 Mo 2.95
Mo  0.0000  0.0000  0.5000  4 Y 2.95
Mo  0.5000  0.5000  0.5000  4 Y 2.95

---

b | DFT (PBE-GGA) results for a geometry-optimized Li2Y2Mo structure.

a = 3.5354 Å, b = 3.5354 Å, c = 18.9025 Å
α = 90.00°, β = 90.00°, γ = 90.00°
With the nearest neighbours (Å) after each atom.
Element x y z (fractional)
Li  0.0000  0.5000  0.2500  4 Li 2.50
Li  0.0000  0.5000  0.7500  4 Li 2.50
Li  0.5000  0.0000  0.2500  4 Li 2.50
Li  0.5000  0.0000  0.7500  4 Li 2.50
Y  0.0000  0.0000  0.0906  4 Mo 3.03
Y  0.0000  0.0000  0.9094  4 Mo 3.03
Y  0.5000  0.5000  0.4094  4 Mo 3.03
Y  0.5000  0.5000  0.5906  4 Mo 3.03
Mo  0.0000  0.0000  0.5000  8 Y 3.03
Mo  0.5000  0.5000  0.0000  8 Y 3.03

---

Which one sits at the top of the stability order? b does.

---

a | DFT (PBE-GGA) results for a geometry-optimized LiZnMo structure.

a = 5.8703 Å, b = 5.8703 Å, c = 5.8703 Å
α = 90.00°, β = 90.00°, γ = 90.00°
With the nearest neighbours (Å) after each atom.
Element x y z (fractional)
Li  0.0000  0.0000  0.0000  4 Zn 2.54
Li  0.0000  0.5000  0.5000  4 Zn 2.54
Li  0.5000  0.0000  0.5000  4 Zn 2.54
Li  0.5000  0.5000  0.0000  4 Zn 2.54
Zn  0.2500  0.2500  0.7500  4 Mo 2.54, 4 Li 2.54
Zn  0.2500  0.7500  0.2500  4 Mo 2.54, 4 Li 2.54
Zn  0.7500  0.2500  0.2500  4 Mo 2.54, 4 Li 2.54
Zn  0.7500  0.7500  0.7500  4 Li 2.54, 4 Mo 2.54
Mo  0.0000  0.0000  0.5000  4 Zn 2.54
Mo  0.0000  0.5000  0.0000  4 Zn 2.54
Mo  0.5000  0.0000  0.0000  4 Zn 2.54
Mo  0.5000  0.5000  0.5000  4 Zn 2.54

---

b | DFT (PBE-GGA) results for a geometry-optimized LiZnMo structure.

a = 6.0517 Å, b = 6.0517 Å, c = 6.0517 Å
α = 90.00°, β = 90.00°, γ = 90.00°
With the nearest neighbours (Å) after each atom.
Element x y z (fractional)
Li  0.0000  0.0000  0.0000  4 Mo 2.62
Li  0.0000  0.5000  0.5000  4 Mo 2.62
Li  0.5000  0.0000  0.5000  4 Mo 2.62
Li  0.5000  0.5000  0.0000  4 Mo 2.62
Zn  0.0000  0.0000  0.5000  4 Mo 2.62
Zn  0.0000  0.5000  0.0000  4 Mo 2.62
Zn  0.5000  0.0000  0.0000  4 Mo 2.62
Zn  0.5000  0.5000  0.5000  4 Mo 2.62
Mo  0.2500  0.2500  0.2500  4 Li 2.62, 4 Zn 2.62
Mo  0.2500  0.7500  0.7500  4 Li 2.62, 4 Zn 2.62
Mo  0.7500  0.2500  0.7500  4 Li 2.62, 4 Zn 2.62
Mo  0.7500  0.7500  0.2500  4 Li 2.62, 4 Zn 2.62

---

c | DFT (PBE-GGA) results for a geometry-optimized LiZnMo structure.

a = 2.5977 Å, b = 2.5977 Å, c = 13.1950 Å
α = 90.00°, β = 90.00°, γ = 90.00°
With the nearest neighbours (Å) after each atom.
Element x y z (fractional)
Li  0.0000  0.0000  0.0000  4 Li 2.60, 4 Zn 2.80
Li  0.5000  0.5000  0.5000  4 Li 2.60, 4 Zn 2.80
Zn  0.0000  0.0000  0.6603  4 Zn 2.60, 4 Li 2.80, 4 Mo 2.84
Zn  0.5000  0.5000  0.1603  4 Zn 2.60, 4 Li 2.80, 4 Mo 2.84
Mo  0.0000  0.0000  0.3241  4 Mo 2.60, 4 Zn 2.84
Mo  0.5000  0.5000  0.8241  4 Mo 2.60, 4 Zn 2.84

---

Which one sits at the top of the stability order? c does.

---

a | DFT (PBE-GGA) results for a geometry-optimized LiZnMo structure.

a = 4.4469 Å, b = 4.4469 Å, c = 2.5240 Å
α = 90.00°, β = 90.00°, γ = 120.00°
With the nearest neighbours (Å) after each atom.
Element x y z (fractional)
Li  0.0000  0.0000  0.0000  2 Li 2.52, 3 Zn 2.57
Zn  0.6667  0.3333  0.0000  2 Zn 2.52, 3 Li 2.57
Mo  0.3333  0.6667  0.5000  2 Mo 2.52

---

b | DFT (PBE-GGA) results for a geometry-optimized LiZnMo structure.

a = 2.7216 Å, b = 2.7216 Å, c = 7.1202 Å
α = 90.00°, β = 90.00°, γ = 120.00°
With the nearest neighbours (Å) after each atom.
Element x y z (fractional)
Li  0.0000  0.0000  0.0000  6 Li 2.72, 3 Zn 2.80, 3 Mo 2.91
Zn  0.3333  0.6667  0.6746  6 Zn 2.72, 3 Li 2.80, 3 Mo 2.83
Mo  0.6667  0.3333  0.3443  6 Mo 2.72, 3 Zn 2.83, 3 Li 2.91

---

Which one sits at the top of the stability order? b does.